[1]
12
Lattice="2.907 0.000 0.000 -1.453 2.517 0.000 0.000 0.000 28.257" Properties=species:S:1:pos:R:3 comment="TaIrAu2 | Alexandria via LeMat-Bulk | GGA-PBE | relaxed" spacegroup="No. 160" e_form_kj_per_mol_atoms=-4.6 polymorph_energy_mev_per_atom=97 pbc="T T T"
Ta 0.000 0.000 0.000
Ta 0.000 1.678 18.838
Ta 1.453 0.839 9.419
Ir 0.000 0.000 7.306
Ir 0.000 1.678 26.145
Ir 1.453 0.839 16.726
Au 0.000 0.000 14.291
Au 0.000 0.000 21.230
Au 0.000 1.678 4.872
Au 0.000 1.678 11.811
Au 1.453 0.839 2.392
Au 1.453 0.839 23.710

***

[2]
4
Lattice="2.873 0.000 0.000 0.000 2.873 0.000 0.000 0.000 8.175" Properties=species:S:1:pos:R:3 comment="Ta2IrAu | Alexandria via LeMat-Bulk | GGA-PBE | relaxed" spacegroup="No. 123" e_form_kj_per_mol_atoms=-31.8 pbc="T T T"
Ta 0.000 0.000 1.927
Ta 0.000 0.000 6.249
Ir 1.437 1.437 0.000
Au 1.437 1.437 4.088

***

[3]
16
Lattice="6.392 0.000 0.000 0.000 6.392 0.000 0.000 0.000 6.392" Properties=species:S:1:pos:R:3 comment="TaIr2Au | Alexandria via LeMat-Bulk | GGA-PBE | relaxed" spacegroup="No. 216" e_form_kj_per_mol_atoms=11.6 pbc="T T T"
Ta 0.000 0.000 0.000
Ta 0.000 3.196 3.196
Ta 3.196 0.000 3.196
Ta 3.196 3.196 0.000
Ir 0.000 0.000 3.196
Ir 0.000 3.196 0.000
Ir 1.598 1.598 4.794
Ir 1.598 4.794 1.598
Ir 3.196 0.000 0.000
Ir 3.196 3.196 3.196
Ir 4.794 1.598 1.598
Ir 4.794 4.794 4.794
Au 1.598 1.598 1.598
Au 1.598 4.794 4.794
Au 4.794 1.598 4.794
Au 4.794 4.794 1.598

***

[4]
16
Lattice="6.476 0.000 0.000 0.000 6.476 0.000 0.000 0.000 6.476" Properties=species:S:1:pos:R:3 comment="Ta2IrAu | Alexandria via LeMat-Bulk | GGA-PBE | relaxed" spacegroup="No. 216" e_form_kj_per_mol_atoms=1.0 pbc="T T T"
Ta 0.000 0.000 0.000
Ta 0.000 3.238 3.238
Ta 1.619 1.619 1.619
Ta 1.619 4.857 4.857
Ta 3.238 0.000 3.238
Ta 3.238 3.238 0.000
Ta 4.857 1.619 4.857
Ta 4.857 4.857 1.619
Ir 1.619 1.619 4.857
Ir 1.619 4.857 1.619
Ir 4.857 1.619 1.619
Ir 4.857 4.857 4.857
Au 0.000 0.000 3.238
Au 0.000 3.238 0.000
Au 3.238 0.000 0.000
Au 3.238 3.238 3.238

***

[5]
4
Lattice="2.937 0.000 0.000 0.000 4.225 0.000 0.000 0.000 5.435" Properties=species:S:1:pos:R:3 comment="TaIrAu2 | Alexandria via LeMat-Bulk | GGA-PBE | relaxed" spacegroup="No. 47" e_form_kj_per_mol_atoms=4.7 polymorph_energy_mev_per_atom=194 pbc="T T T"
Ta 0.000 0.000 0.000
Ir 0.000 0.000 2.718
Au 1.469 2.112 1.357
Au 1.469 2.112 4.078

***

[6]
8
Lattice="5.662 0.000 0.000 0.000 8.162 0.000 0.000 0.000 2.897" Properties=species:S:1:pos:R:3 comment="Ta2IrAu | Alexandria via LeMat-Bulk | GGA-PBE | relaxed" spacegroup="No. 65" e_form_kj_per_mol_atoms=-29.5 pbc="T T T"
Ta 1.415 2.040 0.000
Ta 1.415 6.121 0.000
Ta 4.246 2.040 0.000
Ta 4.246 6.121 0.000
Ir 0.000 0.000 1.448
Ir 2.831 4.081 1.448
Au 0.000 4.081 1.448
Au 2.831 0.000 1.448

***

[7]
8
Lattice="5.718 0.000 0.000 0.000 7.599 0.000 0.000 0.000 2.957" Properties=species:S:1:pos:R:3 comment="TaIr2Au | Alexandria via LeMat-Bulk | GGA-PBE | relaxed" spacegroup="No. 65" e_form_kj_per_mol_atoms=-10.8 pbc="T T T"
Ta 0.000 0.000 0.000
Ta 2.859 3.799 0.000
Ir 1.430 1.900 1.479
Ir 1.430 5.699 1.479
Ir 4.289 1.900 1.479
Ir 4.289 5.699 1.479
Au 0.000 3.799 0.000
Au 2.859 0.000 0.000

***

[8]
4
Lattice="3.334 0.000 0.000 0.000 3.334 0.000 0.000 0.000 5.888" Properties=species:S:1:pos:R:3 comment="TaIr2Au | Alexandria via LeMat-Bulk | GGA-PBE | relaxed" spacegroup="No. 123" e_form_kj_per_mol_atoms=-22.1 pbc="T T T"
Ta 0.000 0.000 0.000
Ir 1.667 1.667 1.402
Ir 1.667 1.667 4.486
Au 0.000 0.000 2.944

***

[9]
8
Lattice="9.345 0.000 0.000 0.000 2.862 0.000 -0.928 0.000 4.814" Properties=species:S:1:pos:R:3 comment="TaIr2Au | Alexandria via LeMat-Bulk | GGA-PBE | relaxed" spacegroup="No. 12" e_form_kj_per_mol_atoms=-13.9 pbc="T T T"
Ta 0.000 0.000 0.000
Ta 4.672 1.431 0.000
Ir 2.040 1.431 1.155
Ir 1.705 0.000 3.659
Ir 6.712 0.000 1.155
Ir 6.377 1.431 3.659
Au -0.464 1.431 2.407
Au 4.209 0.000 2.407

***

[10]
16
Lattice="7.356 0.000 0.000 0.000 7.356 0.000 0.000 0.000 5.538" Properties=species:S:1:pos:R:3 comment="Ta2IrAu | Alexandria via LeMat-Bulk | GGA-PBE | relaxed" spacegroup="No. 122" e_form_kj_per_mol_atoms=19.4 pbc="T T T"
Ta 1.614 1.839 0.692
Ta 1.839 5.293 2.077
Ta 1.839 5.742 4.846
Ta 2.064 1.839 3.461
Ta 5.293 5.517 3.461
Ta 5.517 1.614 4.846
Ta 5.517 2.064 2.077
Ta 5.742 5.517 0.692
Ir 0.000 0.000 0.000
Ir 0.000 3.678 1.385
Ir 3.678 0.000 4.154
Ir 3.678 3.678 2.769
Au 0.000 0.000 2.769
Au 0.000 3.678 4.154
Au 3.678 0.000 1.385
Au 3.678 3.678 0.000

***

[11]
4
Lattice="2.926 0.000 0.000 0.000 5.016 0.000 -0.083 0.000 4.716" Properties=species:S:1:pos:R:3 comment="TaIrAu2 | Alexandria via LeMat-Bulk | GGA-PBE | relaxed" spacegroup="No. 10" e_form_kj_per_mol_atoms=7.7 polymorph_energy_mev_per_atom=225 pbc="T T T"
Ta 0.000 0.000 0.000
Ir 1.422 0.000 2.358
Au 0.693 2.508 3.536
Au 2.151 2.508 1.180

***

[12]
12
Lattice="2.967 0.000 0.000 -1.483 2.569 0.000 0.000 0.000 27.653" Properties=species:S:1:pos:R:3 comment="Ta2IrAu | Alexandria via LeMat-Bulk | GGA-PBE | relaxed" spacegroup="No. 160" e_form_kj_per_mol_atoms=-0.3 pbc="T T T"
Ta 0.000 0.000 0.000
Ta 0.000 0.000 6.778
Ta 0.000 1.713 18.435
Ta 0.000 1.713 25.214
Ta 1.483 0.856 9.218
Ta 1.483 0.856 15.996
Ir 0.000 0.000 13.958
Ir 0.000 1.713 4.740
Ir 1.483 0.856 23.175
Au 0.000 0.000 20.738
Au 0.000 1.713 11.521
Au 1.483 0.856 2.303